12
Lattice="5.259 -0.003 -0.002 -2.544 4.635 0.026 -2.335 -1.402 5.086" Properties=species:S:1:pos:R:3 comment="LiCrBO3 PBE+U optimized geometry" de_polymorph_mev_per_atom=10 dft_energy_ev_per_atom=-7.260 pbc="T T T"
Li -0.206 0.819 3.519
Li 0.586 2.412 1.591
Cr -2.870 2.536 3.828
Cr 3.250 0.695 1.281
B 2.335 -0.681 3.766
B -1.955 3.912 1.343
O -2.185 0.440 3.366
O 2.565 2.791 1.744
O 1.049 -0.493 4.303
O -0.668 3.724 0.807
O 0.266 2.677 3.600
O 0.114 0.554 1.510